# 1
First-principles (PBE) data for an optimized crystal structure of FeHIr2Pd, as listed in Alexandria.

```
FeHIr2Pd
1.0
3.924 0.000 0.000
0.000 3.924 0.000
0.000 0.000 3.927
Fe H Ir Pd
1 1 2 1
Cartesian
0.000 0.000 0.000
1.962 1.962 1.963
0.000 1.962 1.963
1.962 0.000 1.963
1.962 1.962 0.000
```

## Properties
SG = No. 123
relative energy among the computed polymorphs = 14 meV per atom
N(E_F) = 3.9 states/eV per cell

# 2
First-principles (PBE) data for an optimized crystal structure of PrFeH8Ir2, as listed in Alexandria.

```
PrFeH8Ir2
1.0
2.342 1.352 5.242
-2.342 1.352 5.242
0.000 -2.705 5.242
Pr Fe H Ir
1 1 8 2
Cartesian
0.000 0.000 0.000
0.000 0.000 7.862
-0.975 -0.563 6.563
0.000 0.000 4.957
0.000 -1.126 9.162
-0.975 0.563 9.162
0.975 -0.563 6.563
0.000 1.126 6.563
0.000 0.000 10.768
0.975 0.563 9.162
0.000 0.000 3.323
0.000 0.000 12.402
```

## Properties
SG = No. 166
N(E_F) = 4.8 states/eV per cell
total energy = -4.961 eV per atom

# 3
First-principles (PBE) data for an optimized crystal structure of FeHIr2Pt, as listed in Alexandria.

```
FeHIr2Pt
1.0
3.888 0.000 0.000
0.000 3.888 0.000
0.000 0.000 3.830
Fe H Ir Pt
1 1 2 1
Cartesian
0.000 0.000 0.000
0.000 0.000 1.915
0.000 1.944 1.915
1.944 0.000 1.915
1.944 1.944 0.000
```

## Properties
SG = No. 123
N(E_F) = 6.6 states/eV per cell
total energy = -6.956 eV per atom

# 4
First-principles (PBE) data for an optimized crystal structure of FeHIrPt2, as listed in Alexandria.

```
FeHIrPt2
1.0
3.967 0.000 0.000
0.000 3.967 0.000
0.000 0.000 3.958
Fe H Ir Pt
1 1 1 2
Cartesian
0.000 0.000 0.000
1.984 1.984 1.979
1.984 1.984 0.000
0.000 1.984 1.979
1.984 0.000 1.979
```

## Properties
SG = No. 123
relative energy among the computed polymorphs = 0 meV per atom
N(E_F) = 4.4 states/eV per cell

# 5
First-principles (PBE) data for an optimized crystal structure of FeHIrPt2, as listed in Alexandria.

```
FeHIrPt2
1.0
3.898 0.000 0.000
0.000 3.898 0.000
0.000 0.000 4.048
Fe H Ir Pt
1 1 1 2
Cartesian
0.000 0.000 0.000
0.000 0.000 2.024
1.949 1.949 0.000
0.000 1.949 2.024
1.949 0.000 2.024
```

## Properties
SG = No. 123
relative energy among the computed polymorphs = 19 meV per atom
N(E_F) = 4.4 states/eV per cell

# 6
First-principles (PBE) data for an optimized crystal structure of RbFeH2Ir, as listed in Alexandria.

```
RbFeH2Ir
1.0
3.981 0.000 0.000
0.000 3.981 0.000
0.000 0.000 4.573
Rb Fe H Ir
1 1 2 1
Cartesian
0.000 0.000 0.000
1.990 1.990 0.000
0.000 1.990 2.286
1.990 0.000 2.286
1.990 1.990 2.286
```

## Properties
SG = No. 123
N(E_F) = 5.9 states/eV per cell
total energy = -4.073 eV per atom

# 7
First-principles (PBE) data for an optimized crystal structure of FeRe2HIr, as listed in Alexandria.

```
FeRe2HIr
1.0
3.868 0.000 0.000
0.000 3.868 0.000
0.000 0.000 3.819
Fe Re H Ir
1 2 1 1
Cartesian
0.000 0.000 0.000
0.000 1.934 1.910
1.934 0.000 1.910
0.000 0.000 1.910
1.934 1.934 0.000
```

## Properties
SG = No. 123
N(E_F) = 4.3 states/eV per cell
total energy = -9.041 eV per atom

# 8
First-principles (PBE) data for an optimized crystal structure of Fe2ReHIr, as listed in Alexandria.

```
Fe2ReHIr
1.0
3.729 0.000 0.000
0.000 3.729 0.000
0.000 0.000 3.773
Fe Re H Ir
2 1 1 1
Cartesian
0.000 1.865 0.000
1.865 0.000 0.000
0.000 0.000 1.886
0.000 0.000 0.000
1.865 1.865 1.886
```

## Properties
SG = No. 123
relative energy among the computed polymorphs = 0 meV per atom
N(E_F) = 4.7 states/eV per cell

# 9
First-principles (PBE) data for an optimized crystal structure of Fe2ReHIr, as listed in Alexandria.

```
Fe2ReHIr
1.0
3.756 0.000 0.000
0.000 3.756 0.000
0.000 0.000 3.716
Fe Re H Ir
2 1 1 1
Cartesian
0.000 1.878 0.000
1.878 0.000 0.000
0.000 0.000 1.858
1.878 1.878 0.000
1.878 1.878 1.858
```

## Properties
SG = No. 123
relative energy among the computed polymorphs = 7 meV per atom
N(E_F) = 3.6 states/eV per cell

# 10
First-principles (PBE) data for an optimized crystal structure of FeHIr2Rh, as listed in Alexandria.

```
FeHIr2Rh
1.0
3.895 0.000 0.000
0.000 3.895 0.000
0.000 0.000 3.891
Fe H Ir Rh
1 1 2 1
Cartesian
0.000 0.000 0.000
1.948 1.948 1.946
0.000 1.948 1.946
1.948 0.000 1.946
1.948 1.948 0.000
```

## Properties
SG = No. 123
relative energy among the computed polymorphs = 0 meV per atom
N(E_F) = 2.6 states/eV per cell

# 11
First-principles (PBE) data for an optimized crystal structure of FeHIr2Rh, as listed in Alexandria.

```
FeHIr2Rh
1.0
3.855 0.000 0.000
0.000 3.855 0.000
0.000 0.000 3.801
Fe H Ir Rh
1 1 2 1
Cartesian
0.000 0.000 0.000
0.000 0.000 1.901
0.000 1.927 1.901
1.927 0.000 1.901
1.927 1.927 0.000
```

## Properties
SG = No. 123
relative energy among the computed polymorphs = 85 meV per atom
N(E_F) = 5.1 states/eV per cell

# 12
First-principles (PBE) data for an optimized crystal structure of FeH2IrRh, as listed in Alexandria.

```
FeH2IrRh
1.0
3.489 0.000 0.000
0.000 3.489 0.000
0.000 0.000 4.962
Fe H Ir Rh
1 2 1 1
Cartesian
0.000 0.000 0.000
0.000 1.745 0.000
1.745 0.000 0.000
1.745 1.745 2.481
0.000 0.000 2.481
```

## Properties
SG = No. 123
N(E_F) = 6.9 states/eV per cell
total energy = -5.344 eV per atom